[1]
First-principles (PBE) data for crystalline AcTb3PrEr at its relaxed geometry, as listed in the Alexandria database.

The structure in POSCAR format:
```
AcTb3PrEr
1.0
5.741 0.000 0.000
-2.871 9.711 1.561
0.000 -1.330 7.389
Ac Tb Pr Er
2 6 2 2
Cartesian
2.871 2.741 0.620
0.000 5.640 8.331
2.871 6.096 3.139
0.000 8.892 3.622
2.871 4.470 6.424
0.000 2.285 5.812
2.871 -0.512 5.328
0.000 3.911 2.526
0.000 0.580 2.255
2.871 7.800 6.695
2.871 2.363 3.861
0.000 6.018 5.089
```

Results
As for the formation energy: 218 meV/atom. Its mass density is 7.93 g/cm³. As for the symmetry: No. 12.

[2]
First-principles (PBE) data for crystalline AcTbPr5Er2 at its relaxed geometry, as listed in the Alexandria database.

The structure in POSCAR format:
```
AcTbPr5Er2
1.0
5.596 0.000 0.000
-2.798 12.281 0.000
0.000 0.000 9.569
Pr Ac Er Tb
10 2 4 2
Cartesian
2.798 2.620 5.091
0.000 11.678 7.223
0.000 9.661 0.306
0.000 6.363 3.425
2.798 4.647 2.128
2.798 5.918 8.210
2.798 0.603 2.439
2.798 12.048 0.369
0.000 0.233 5.153
0.000 7.634 6.912
2.798 2.519 8.853
0.000 9.763 4.068
0.000 4.287 6.440
2.798 9.526 7.530
2.798 7.995 1.656
0.000 2.755 2.745
0.000 5.790 0.316
2.798 6.492 5.101
```

Results
As for the formation energy: 144 meV/atom. Its mass density is 7.20 g/cm³. As for the symmetry: No. 36.

[3]
First-principles (PBE) data for crystalline AcTbPr6Er2 at its relaxed geometry, as listed in the Alexandria database.

The structure in POSCAR format:
```
AcTbPr6Er2
1.0
9.334 -2.142 -2.223
0.997 8.796 -2.030
0.997 -2.355 8.715
Pr Tb Er Ac
12 2 4 2
Cartesian
2.292 4.817 2.546
6.040 5.186 -1.748
2.260 4.453 -1.479
4.369 3.004 0.665
5.288 -0.888 6.210
6.959 1.295 3.797
9.069 -0.154 5.940
9.955 5.167 -1.768
9.036 -0.518 1.915
6.927 -2.714 3.284
1.373 -0.868 6.230
4.402 7.013 1.178
3.331 1.702 3.734
7.998 2.597 0.727
0.967 2.131 1.052
10.362 2.168 3.410
5.695 4.398 3.404
5.634 -0.099 1.057
3.331 7.922 -2.260
7.998 -3.623 6.721
```

Results
As for the formation energy: 117 meV/atom. Its mass density is 7.24 g/cm³. As for the symmetry: No. 15.

[4]
First-principles (PBE) data for crystalline AcTbPr4Er2 at its relaxed geometry, as listed in the Alexandria database.

The structure in POSCAR format:
```
AcTbPr4Er2
1.0
-0.339 -5.147 0.749
5.618 -2.923 0.586
-1.509 -1.150 9.556
Ac Tb Er Pr
1 1 2 4
Cartesian
1.885 -4.610 5.445
0.000 0.000 0.000
0.904 -2.312 2.661
2.865 -6.909 8.230
0.659 -4.028 8.894
-0.292 -1.720 6.191
3.111 -5.192 1.997
4.061 -7.501 4.700
```

Results
As for the formation energy: 34 meV/atom. Its mass density is 7.56 g/cm³. As for the symmetry: No. 12.

[5]
First-principles (PBE) data for crystalline AcTbPrEr at its relaxed geometry, as listed in the Alexandria database.

The structure in POSCAR format:
```
AcTbPrEr
1.0
-0.082 1.906 5.567
-5.136 0.872 2.736
-1.681 -3.619 4.325
Pr Tb Ac Er
1 1 1 1
Cartesian
-1.725 -0.210 3.157
-5.174 -0.631 9.471
0.000 0.000 0.000
-3.449 -0.420 6.314
```

Results
The value obtained for the excess energy over the best structure of this formula in the dataset is 0.118 eV per atom. As for the formation energy: 170 meV/atom. Its mass density is 8.00 g/cm³. As for the symmetry: No. 216.

[6]
First-principles (PBE) data for crystalline AcTb2Pr4Er at its relaxed geometry, as listed in the Alexandria database.

The structure in POSCAR format:
```
AcTb2Pr4Er
1.0
-3.395 2.193 4.496
-2.706 -5.365 0.573
2.703 -7.542 5.720
Tb Pr Ac Er
2 4 1 1
Cartesian
2.703 -7.542 5.720
-0.346 -2.675 5.108
-0.110 -9.638 4.618
-0.452 -5.859 6.580
-2.946 -4.856 4.208
-3.288 -1.076 6.171
-3.051 -1.586 2.535
-0.002 -6.454 3.146
```

Results
As for the formation energy: 114 meV/atom. Its mass density is 7.46 g/cm³. As for the symmetry: No. 123.

[7]
First-principles (PBE) data for crystalline AcTb5Pr2Er at its relaxed geometry, as listed in the Alexandria database.

The structure in POSCAR format:
```
AcTb5Pr2Er
1.0
-0.683 6.890 5.546
-5.971 -4.463 4.809
9.126 -4.202 -0.750
Er Ac Tb Pr
2 2 10 4
Cartesian
-0.086 -3.726 4.618
2.558 1.951 4.987
2.899 -1.494 2.214
-0.428 -0.281 7.391
0.000 0.000 0.000
-2.805 -2.532 5.741
3.202 -5.127 2.609
6.129 -2.306 0.679
-0.730 3.352 6.996
-3.327 1.214 5.177
0.122 0.289 3.811
2.349 -2.064 5.794
5.276 0.757 3.864
-3.657 0.531 8.925
-2.363 -0.896 2.491
-4.291 3.323 7.864
-1.125 3.731 3.991
-5.530 -1.303 6.363
```

Results
As for the formation energy: 259 meV/atom. Its mass density is 7.87 g/cm³. As for the symmetry: No. 140.

[8]
First-principles (PBE) data for crystalline Ac3Pr4ErTe8 at its relaxed geometry, as listed in the Alexandria database.

The structure in POSCAR format:
```
Ac3Pr4ErTe8
1.0
-1.833 -5.152 -7.395
8.800 -2.476 -0.456
-4.734 -1.259 7.770
Te Ac Pr Er
8 3 4 1
Cartesian
6.123 -3.120 -2.077
-1.629 -5.166 -1.716
-3.891 -5.768 1.997
3.861 -3.722 1.636
-0.687 -2.475 1.895
2.919 -6.412 -1.975
-2.934 -3.077 5.858
5.166 -5.810 -5.939
1.116 -4.444 -0.040
3.483 -3.814 -3.925
2.033 -1.868 3.657
-0.917 -2.576 -3.697
-3.284 -3.206 0.188
0.000 0.000 0.000
-2.367 -0.630 3.885
4.400 -1.238 -0.228
```

Results
The uncorrected formation energy is -1.412 eV/atom. Its mass density is 7.40 g/cm³. As for the symmetry: No. 12.